## Rb2VCuF6 (PBE+U)

Data for a relaxed Rb2VCuF6 crystal. Values from VASP.

The structure in Quantum ESPRESSO input format:
```
&SYSTEM
  ibrav = 0, nat = 10, ntyp = 4
/
ATOMIC_SPECIES
F 19.00 F.upf
Cu 63.55 Cu.upf
Rb 85.47 Rb.upf
V 50.94 V.upf
CELL_PARAMETERS angstrom
-0.082 3.205 -5.595
-4.688 -3.871 -2.149
-5.108 2.152 -2.409
ATOMIC_POSITIONS crystal
F 0.240 0.240 0.519
F 0.760 0.760 0.481
F 0.286 0.286 0.000
F 0.714 0.714 0.000
F 0.714 0.286 0.000
F 0.286 0.714 0.000
Cu 0.000 0.000 0.000
Rb 0.750 0.250 0.500
Rb 0.250 0.750 0.500
V 0.500 0.500 0.000
```

- symmetry = I4/mmm (139)
- total energy (eV per atom) = -4.98